(1)
# BeMo3 PBE optimized geometry
# ΔE_f = 198.1 meV/atom
# distance to the lowest polymorph of the same formula = 20.4 kJ per mole of atoms
# size of the total moment = 0.0 μB/cell
data_BeMo3
_cell_length_a 2.654
_cell_length_b 2.654
_cell_length_c 8.113
_cell_angle_alpha 90.00
_cell_angle_beta 90.00
_cell_angle_gamma 90.00
_space_group_name_H-M_alt 'P 4/m m m'
_space_group_IT_number 123
_space_group_name_Hall '-P 4 2'
loop_
_atom_site_label
_atom_site_type_symbol
_atom_site_fract_x
_atom_site_fract_y
_atom_site_fract_z
Be1 Be 0.000 0.000 0.000
Mo1 Mo 0.000 0.000 0.500
Mo2 Mo 0.500 0.500 0.213

(2)
# Ba2Ge2Pd PBE optimized geometry
# ΔE_f = -514.9 meV/atom
# size of the total moment = 0.0 μB/cell
data_Ba2Ge2Pd
_cell_length_a 4.687
_cell_length_b 4.474
_cell_length_c 13.659
_cell_angle_alpha 90.00
_cell_angle_beta 90.00
_cell_angle_gamma 90.00
_space_group_name_H-M_alt 'A m m 2'
_space_group_IT_number 38
loop_
_space_group_symop_operation_xyz
'x,y,z'
'-x,-y,z'
'-x,y,z'
'x,-y,z'
'x,y+1/2,z+1/2'
'-x,-y+1/2,z+1/2'
'-x,y+1/2,z+1/2'
'x,-y+1/2,z+1/2'
loop_
_atom_site_label
_atom_site_type_symbol
_atom_site_fract_x
_atom_site_fract_y
_atom_site_fract_z
Ba1 Ba 0.000 0.000 0.000
Ba2 Ba 0.000 0.000 0.250
Ge1 Ge 0.500 0.000 0.631
Ge2 Ge 0.500 0.000 0.822
Pd1 Pd 0.500 0.000 0.428

(3)
# KPt PBE optimized geometry
# ΔE_f = 631.0 meV/atom
# size of the total moment = 0.0 μB/cell
data_KPt
_cell_length_a 5.906
_cell_length_b 5.906
_cell_length_c 5.906
_cell_angle_alpha 90.00
_cell_angle_beta 90.00
_cell_angle_gamma 90.00
_space_group_name_H-M_alt 'P 21 3'
_space_group_IT_number 198
_space_group_name_Hall 'P 2ac 2ab 3'
loop_
_atom_site_label
_atom_site_type_symbol
_atom_site_fract_x
_atom_site_fract_y
_atom_site_fract_z
K1 K 0.095 0.405 0.595
Pt1 Pt 0.106 0.894 0.394

(4)
# BaTbMgGa PBE optimized geometry
# ΔE_f = -115.6 meV/atom
# size of the total moment = 0.0 μB/cell
data_BaTbMgGa
_cell_length_a 7.863
_cell_length_b 7.863
_cell_length_c 7.863
_cell_angle_alpha 90.00
_cell_angle_beta 90.00
_cell_angle_gamma 90.00
_space_group_name_H-M_alt 'F -4 3 m'
_space_group_IT_number 216
_space_group_name_Hall 'F -4 2 3'
loop_
_atom_site_label
_atom_site_type_symbol
_atom_site_fract_x
_atom_site_fract_y
_atom_site_fract_z
Ba1 Ba 0.000 0.000 0.000
Tb1 Tb 0.000 0.000 0.500
Mg1 Mg 0.250 0.250 0.250
Ga1 Ga 0.250 0.250 0.750

(5)
# CaTb2Ni PBE optimized geometry
# ΔE_f = -113.5 meV/atom
# distance to the lowest polymorph of the same formula = 2.3 kJ per mole of atoms
# size of the total moment = 0.0 μB/cell
data_CaTb2Ni
_cell_length_a 3.9512
_cell_length_b 3.9512
_cell_length_c 27.9493
_cell_angle_alpha 90.00
_cell_angle_beta 90.00
_cell_angle_gamma 120.00
_space_group_name_H-M_alt 'R -3 m'
_space_group_IT_number 166
_space_group_name_Hall '-R 3 2"'
loop_
_atom_site_label
_atom_site_type_symbol
_atom_site_fract_x
_atom_site_fract_y
_atom_site_fract_z
Ca1 Ca 0.0000 0.0000 0.0000
Tb1 Tb 0.0000 0.0000 0.2188
Ni1 Ni 0.0000 0.0000 0.5000

(6)
# Cr2InBr PBE optimized geometry
# formation energy from raw total energies = 557 meV per atom
# distance to the lowest polymorph of the same formula = 33.0 kJ per mole of atoms
# size of the total moment = 17.5 μB/cell
data_Cr2InBr
_cell_length_a 3.328
_cell_length_b 6.009
_cell_length_c 9.052
_cell_angle_alpha 90.00
_cell_angle_beta 90.00
_cell_angle_gamma 90.00
_space_group_name_H-M_alt 'I m m m'
_space_group_IT_number 71
_space_group_name_Hall '-I 2 2'
loop_
_atom_site_label
_atom_site_type_symbol
_atom_site_fract_x
_atom_site_fract_y
_atom_site_fract_z
Cr1 Cr 0.000 0.000 0.241
In1 In 0.000 0.500 0.000
Br1 Br 0.000 0.500 0.500

(7)
# Ca2LaCo PBE optimized geometry
# ΔE_f = 341.3 meV/atom
# distance to the lowest polymorph of the same formula = 29.4 kJ per mole of atoms
# size of the total moment = 0.0 μB/cell
data_Ca2LaCo
_cell_length_a 4.385
_cell_length_b 4.385
_cell_length_c 5.591
_cell_angle_alpha 90.00
_cell_angle_beta 90.00
_cell_angle_gamma 90.00
_space_group_name_H-M_alt 'P 4/m m m'
_space_group_IT_number 123
_space_group_name_Hall '-P 4 2'
loop_
_atom_site_label
_atom_site_type_symbol
_atom_site_fract_x
_atom_site_fract_y
_atom_site_fract_z
Ca1 Ca 0.000 0.500 0.000
La1 La 0.000 0.000 0.500
Co1 Co 0.500 0.500 0.500

(8)
# SiP PBE optimized geometry
# formation energy from raw total energies = -11 meV per atom
# size of the total moment = 0.0 μB/cell
data_SiP
_cell_length_a 3.6506
_cell_length_b 3.6506
_cell_length_c 6.0785
_cell_angle_alpha 90.00
_cell_angle_beta 90.00
_cell_angle_gamma 120.00
_space_group_name_H-M_alt 'P 3 m 1'
_space_group_IT_number 156
loop_
_space_group_symop_operation_xyz
'x,y,z'
'-y,x-y,z'
'-x+y,-x,z'
'-y,-x,z'
'-x+y,y,z'
'x,x-y,z'
loop_
_atom_site_label
_atom_site_type_symbol
_atom_site_fract_x
_atom_site_fract_y
_atom_site_fract_z
Si1 Si 0.0000 0.0000 0.0000
Si2 Si 0.3333 0.6667 0.5445
P1 P 0.3333 0.6667 0.1723
P2 P 0.6667 0.3333 0.7033

(9)
# TlAgS2 PBE optimized geometry
# formation energy from raw total energies = 1 meV per atom
# size of the total moment = 0.0 μB/cell
data_TlAgS2
_cell_length_a 7.303
_cell_length_b 3.940
_cell_length_c 13.393
_cell_angle_alpha 90.00
_cell_angle_beta 90.00
_cell_angle_gamma 90.00
_space_group_name_H-M_alt 'P n m a'
_space_group_IT_number 62
loop_
_space_group_symop_operation_xyz
'x,y,z'
'-x,-y,-z'
'-x+1/2,-y,z+1/2'
'x+1/2,y,-z+1/2'
'x+1/2,-y+1/2,-z+1/2'
'-x+1/2,y+1/2,z+1/2'
'-x,y+1/2,-z'
'x,-y+1/2,z'
loop_
_atom_site_label
_atom_site_type_symbol
_atom_site_fract_x
_atom_site_fract_y
_atom_site_fract_z
Tl1 Tl 0.109 0.250 0.121
Ag1 Ag 0.102 0.750 0.396
S1 S 0.026 0.750 0.700
S2 S 0.232 0.750 0.994

(10)
# In3SnPb3 PBE optimized geometry
# ΔE_f = 556.3 meV/atom
# distance to the lowest polymorph of the same formula = 49.5 kJ per mole of atoms
# size of the total moment = 0.9 μB/cell
data_In3SnPb3
_cell_length_a 8.294
_cell_length_b 8.294
_cell_length_c 8.294
_cell_angle_alpha 90.00
_cell_angle_beta 90.00
_cell_angle_gamma 90.00
_space_group_name_H-M_alt 'P m -3 n'
_space_group_IT_number 223
_space_group_name_Hall '-P 4n 2 3'
loop_
_atom_site_label
_atom_site_type_symbol
_atom_site_fract_x
_atom_site_fract_y
_atom_site_fract_z
In1 In 0.000 0.250 0.500
Sn1 Sn 0.000 0.000 0.000
Pb1 Pb 0.000 0.500 0.250

(11)
# TbNd2Sm5Ho PBE optimized geometry
# ΔE_f = 274.0 meV/atom
# size of the total moment = 0.0 μB/cell
data_TbNd2Sm5Ho
_cell_length_a 8.674
_cell_length_b 8.674
_cell_length_c 16.230
_cell_angle_alpha 90.00
_cell_angle_beta 90.00
_cell_angle_gamma 90.00
_space_group_name_H-M_alt 'I 4/m c m'
_space_group_IT_number 140
_space_group_name_Hall '-I 4 2c'
loop_
_atom_site_label
_atom_site_type_symbol
_atom_site_fract_x
_atom_site_fract_y
_atom_site_fract_z
Tb1 Tb 0.000 0.000 0.250
Nd1 Nd 0.120 0.380 0.000
Sm1 Sm 0.000 0.000 0.000
Sm2 Sm 0.214 0.286 0.359
Ho1 Ho 0.000 0.500 0.250